1.
Ba2BiO3 after structural relaxation, computed with PBE-GGA.

a b c (Å): 3.812 4.594 7.770
angles (deg): 107.19 104.20 90.00
Fractional coordinates of all 6 atoms:
Ba: 0.652 0.652 0.304
Ba: 0.348 0.348 0.696
Bi: 0.000 0.000 0.000
O: 0.000 0.500 0.000
O: 0.833 0.833 0.666
O: 0.167 0.167 0.334

Offset from the most stable computed form ... 0.0000 eV/atom
Energy relative to the elements, uncorrected ... -2.00 eV/atom



2.
Ba4Bi2O after structural relaxation, computed with PBE-GGA.

a b c (Å): 7.562 7.827 10.471
angles (deg): 90.00 110.48 90.00
Fractional coordinates of all 14 atoms:
Ba: 0.506 0.506 0.266
Ba: 0.121 0.750 0.947
Ba: 0.879 0.250 0.053
Ba: 0.506 0.994 0.266
Ba: 0.925 0.250 0.650
Ba: 0.494 0.006 0.734
Ba: 0.494 0.494 0.734
Ba: 0.075 0.750 0.350
Bi: 0.699 0.750 0.039
Bi: 0.301 0.250 0.961
Bi: 0.205 0.250 0.419
Bi: 0.795 0.750 0.581
O: 0.285 0.750 0.207
O: 0.715 0.250 0.793

Energy relative to the elements, uncorrected ... -1.39 eV/atom



3.
Ba2BiOs3O12 after structural relaxation, computed with PBE-GGA.

a b c (Å): 7.288 7.288 7.288
angles (deg): 60.22 60.22 60.22
Fractional coordinates of all 18 atoms:
Ba: 0.631 0.631 0.631
Ba: 0.369 0.369 0.369
Bi: 0.000 0.000 0.000
Os: 0.500 0.000 0.000
Os: 0.000 0.500 0.000
Os: 0.000 0.000 0.500
O: 0.291 0.291 0.911
O: 0.887 0.887 0.397
O: 0.397 0.887 0.887
O: 0.911 0.291 0.291
O: 0.887 0.397 0.887
O: 0.291 0.911 0.291
O: 0.709 0.709 0.089
O: 0.113 0.113 0.603
O: 0.603 0.113 0.113
O: 0.089 0.709 0.709
O: 0.113 0.603 0.113
O: 0.709 0.089 0.709

Energy relative to the elements, uncorrected ... -1.45 eV/atom



4.
BaBi2OsO8 after structural relaxation, computed with PBE-GGA.

a b c (Å): 5.473 5.349 7.198
angles (deg): 88.87 95.96 85.67
Fractional coordinates of all 12 atoms:
Ba: 0.000 0.000 0.500
Bi: 0.527 0.494 0.744
Bi: 0.473 0.506 0.256
Os: 0.000 0.000 0.000
O: 0.141 0.776 0.205
O: 0.756 0.787 0.945
O: 0.807 0.168 0.165
O: 0.859 0.224 0.795
O: 0.244 0.213 0.055
O: 0.193 0.832 0.835
O: 0.649 0.688 0.514
O: 0.351 0.312 0.486

Energy relative to the elements, uncorrected ... -1.32 eV/atom



5.
BaBiOs2O8 after structural relaxation, computed with PBE-GGA.

a b c (Å): 5.515 5.515 8.351
angles (deg): 70.72 70.72 60.00
Last column: magnetic moment on the atom in μB.
Fractional coordinates of all 12 atoms:
Ba: 0.500 0.500 0.500  0.01
Bi: 0.000 0.000 0.000  0.03
Os: 0.249 0.249 0.253  0.86
Os: 0.751 0.751 0.747  0.86
O: 0.171 0.171 0.487  0.15
O: 0.584 0.288 0.182  0.12
O: 0.829 0.829 0.513  0.15
O: 0.946 0.584 0.182  0.12
O: 0.054 0.416 0.818  0.12
O: 0.288 0.946 0.182  0.12
O: 0.712 0.054 0.818  0.12
O: 0.416 0.712 0.818  0.12

Energy relative to the elements, uncorrected ... -1.14 eV/atom



6.
BaBiP2O after structural relaxation, computed with PBE-GGA.

a b c (Å): 5.361 5.361 4.480
angles (deg): 90.00 90.00 90.00
Last column: magnetic moment on the atom in μB.
Fractional coordinates of all 5 atoms:
P: 0.000 0.500 0.000  0.16
P: 0.500 0.000 0.000  0.16
Bi: 0.000 0.000 0.000  -0.01
O: 0.000 0.000 0.500  0.21
Ba: 0.500 0.500 0.500  0.01

Offset from the most stable computed form ... 0.0000 eV/atom
Energy relative to the elements, uncorrected ... -0.21 eV/atom



7.
BaBiP2O after structural relaxation, computed with PBE-GGA.

a b c (Å): 5.777 5.777 4.351
angles (deg): 90.00 90.00 90.00
Last column: magnetic moment on the atom in μB.
Fractional coordinates of all 5 atoms:
P: 0.000 0.500 0.000  0.34
P: 0.500 0.000 0.000  0.34
Bi: 0.500 0.500 0.500  -0.26
O: 0.000 0.000 0.500  0.02
Ba: 0.000 0.000 0.000  0.08

Offset from the most stable computed form ... 0.8561 eV/atom
Energy relative to the elements, uncorrected ... 0.65 eV/atom



8.
Ba2Pa3BiO12 after structural relaxation, computed with PBE-GGA.

a b c (Å): 8.057 8.057 8.057
angles (deg): 60.58 60.58 60.58
Fractional coordinates of all 18 atoms:
Ba: 0.689 0.689 0.689
Ba: 0.311 0.311 0.311
Pa: 0.500 0.000 0.000
Pa: 0.000 0.500 0.000
Pa: 0.000 0.000 0.500
Bi: 0.000 0.000 0.000
O: 0.318 0.318 0.963
O: 0.933 0.933 0.315
O: 0.315 0.933 0.933
O: 0.963 0.318 0.318
O: 0.933 0.315 0.933
O: 0.318 0.963 0.318
O: 0.682 0.682 0.037
O: 0.067 0.067 0.685
O: 0.685 0.067 0.067
O: 0.037 0.682 0.682
O: 0.067 0.685 0.067
O: 0.682 0.037 0.682

Energy relative to the elements, uncorrected ... -2.85 eV/atom



9.
BaPaBi2O6 after structural relaxation, computed with PBE-GGA.

a b c (Å): 6.383 6.383 6.429
angles (deg): 89.99 119.76 120.01
Last column: magnetic moment on the atom in μB.
Fractional coordinates of all 10 atoms:
Ba: 0.996 0.498 0.480  0.01
Pa: 0.011 0.005 0.002  0.07
Bi: 0.579 0.789 0.354  0.02
Bi: 0.509 0.254 0.749  0.49
O: 0.563 0.924 0.711  0.02
O: 0.432 0.055 0.195  0.03
O: 0.833 0.777 0.195  0.03
O: 0.154 0.376 0.195  0.03
O: 0.802 0.639 0.711  0.02
O: 0.086 0.162 0.711  0.02

Energy relative to the elements, uncorrected ... -2.20 eV/atom



10.
Ba2PaBiO6 after structural relaxation, computed with PBE-GGA.

a b c (Å): 4.530 4.530 8.965
angles (deg): 90.00 90.00 90.00
Last column: magnetic moment on the atom in μB.
Fractional coordinates of all 10 atoms:
Ba: 0.000 0.000 0.723  0.00
Ba: 0.000 0.000 0.277  0.00
Pa: 0.500 0.500 0.000  0.08
Bi: 0.500 0.500 0.500  0.00
O: 0.500 0.000 0.000  0.00
O: 0.500 0.000 0.500  0.00
O: 0.000 0.500 0.000  0.00
O: 0.000 0.500 0.500  0.00
O: 0.500 0.500 0.767  0.00
O: 0.500 0.500 0.233  0.00

Energy relative to the elements, uncorrected ... -2.67 eV/atom



11.
BaPa2BiO8 after structural relaxation, computed with PBE-GGA.

a b c (Å): 5.350 5.355 7.299
angles (deg): 90.00 90.00 88.08
Fractional coordinates of all 12 atoms:
Ba: 0.000 0.000 0.500
Pa: 0.500 0.500 0.753
Pa: 0.500 0.500 0.247
Bi: 0.000 0.000 0.000
O: 0.218 0.782 0.217
O: 0.682 0.682 0.000
O: 0.782 0.218 0.217
O: 0.782 0.218 0.783
O: 0.318 0.318 0.000
O: 0.218 0.782 0.783
O: 0.662 0.662 0.500
O: 0.338 0.338 0.500

Energy relative to the elements, uncorrected ... -2.78 eV/atom



12.
Ba3PaBi2O9 after structural relaxation, computed with PBE-GGA.

a b c (Å): 6.337 6.337 7.774
angles (deg): 90.00 90.00 120.00
Fractional coordinates of all 15 atoms:
Ba: 0.333 0.667 0.690
Ba: 0.000 0.000 0.000
Ba: 0.667 0.333 0.310
Pa: 0.000 0.000 0.500
Bi: 0.333 0.667 0.168
Bi: 0.667 0.333 0.832
O: 0.840 0.160 0.663
O: 0.840 0.680 0.663
O: 0.320 0.160 0.663
O: 0.680 0.840 0.337
O: 0.160 0.320 0.337
O: 0.160 0.840 0.337
O: 0.500 0.000 0.000
O: 0.000 0.500 0.000
O: 0.500 0.500 0.000

Energy relative to the elements, uncorrected ... -2.40 eV/atom



13.
Ba2PaBi3O12 after structural relaxation, computed with PBE-GGA.

a b c (Å): 7.938 7.938 7.938
angles (deg): 57.84 57.84 57.84
Fractional coordinates of all 18 atoms:
Ba: 0.597 0.597 0.597
Ba: 0.403 0.403 0.403
Pa: 0.000 0.000 0.000
Bi: 0.500 0.000 0.000
Bi: 0.000 0.500 0.000
Bi: 0.000 0.000 0.500
O: 0.336 0.336 0.899
O: 0.928 0.928 0.330
O: 0.330 0.928 0.928
O: 0.899 0.336 0.336
O: 0.928 0.330 0.928
O: 0.336 0.899 0.336
O: 0.664 0.664 0.101
O: 0.072 0.072 0.670
O: 0.670 0.072 0.072
O: 0.101 0.664 0.664
O: 0.072 0.670 0.072
O: 0.664 0.101 0.664

Energy relative to the elements, uncorrected ... -1.75 eV/atom



14.
Ba4BiPb3O12 after structural relaxation, computed with PBE-GGA.

a b c (Å): 4.365 4.365 17.534
angles (deg): 90.00 90.00 90.00
Fractional coordinates of all 20 atoms:
Ba: 0.500 0.500 0.870
Ba: 0.500 0.500 0.623
Ba: 0.500 0.500 0.377
Ba: 0.500 0.500 0.130
Bi: 0.000 0.000 0.000
Pb: 0.000 0.000 0.749
Pb: 0.000 0.000 0.500
Pb: 0.000 0.000 0.251
O: 0.000 0.500 0.755
O: 0.000 0.500 0.500
O: 0.000 0.500 0.245
O: 0.000 0.500 0.000
O: 0.500 0.000 0.755
O: 0.500 0.000 0.500
O: 0.500 0.000 0.245
O: 0.500 0.000 0.000
O: 0.000 0.000 0.877
O: 0.000 0.000 0.626
O: 0.000 0.000 0.374
O: 0.000 0.000 0.123

Offset from the most stable computed form ... 0.0247 eV/atom
Energy relative to the elements, uncorrected ... -1.71 eV/atom



15.
Ba4BiPb3O12 after structural relaxation, computed with PBE-GGA.

a b c (Å): 7.570 7.570 7.570
angles (deg): 109.47 109.47 109.47
Fractional coordinates of all 20 atoms:
Ba: 0.500 0.500 0.500
Ba: 0.000 0.000 0.500
Ba: 0.500 0.000 0.000
Ba: 0.000 0.500 0.000
Bi: 0.000 0.000 0.000
Pb: 0.500 0.000 0.500
Pb: 0.500 0.500 0.000
Pb: 0.000 0.500 0.500
O: 0.250 0.500 0.750
O: 0.753 0.000 0.753
O: 0.247 0.000 0.247
O: 0.750 0.500 0.250
O: 0.753 0.753 0.000
O: 0.247 0.247 0.000
O: 0.750 0.250 0.500
O: 0.250 0.750 0.500
O: 0.500 0.250 0.750
O: 0.000 0.753 0.753
O: 0.500 0.750 0.250
O: 0.000 0.247 0.247

Offset from the most stable computed form ... 0.0191 eV/atom
Energy relative to the elements, uncorrected ... -1.71 eV/atom



16.
Ba4BiPb3O12 after structural relaxation, computed with PBE-GGA.

a b c (Å): 6.172 6.172 10.698
angles (deg): 73.67 73.67 59.84
Fractional coordinates of all 20 atoms:
Ba: 0.378 0.378 0.371
Ba: 0.878 0.878 0.873
Ba: 0.622 0.622 0.629
Ba: 0.122 0.122 0.127
Bi: 0.000 0.000 0.500
Pb: 0.500 0.500 0.000
Pb: 0.249 0.249 0.752
Pb: 0.751 0.751 0.248
O: 0.356 0.857 0.359
O: 0.854 0.355 0.854
O: 0.143 0.644 0.641
O: 0.645 0.146 0.146
O: 0.857 0.356 0.359
O: 0.355 0.854 0.854
O: 0.644 0.143 0.641
O: 0.146 0.645 0.146
O: 0.156 0.156 0.591
O: 0.659 0.659 0.091
O: 0.844 0.844 0.409
O: 0.341 0.341 0.909

Offset from the most stable computed form ... 0.0019 eV/atom
Energy relative to the elements, uncorrected ... -1.73 eV/atom



17.
Ba4BiPbO after structural relaxation, computed with PBE-GGA.

a b c (Å): 7.609 7.602 10.183
angles (deg): 90.00 111.94 90.00
Fractional coordinates of all 14 atoms:
Ba: 0.927 0.250 0.855
Ba: 0.413 0.750 0.825
Ba: 0.073 0.750 0.145
Ba: 0.587 0.250 0.175
Ba: 0.500 0.500 0.500
Ba: 0.000 0.000 0.500
Ba: 0.500 0.000 0.500
Ba: 0.000 0.500 0.500
Bi: 0.114 0.250 0.228
Bi: 0.886 0.750 0.772
Pb: 0.613 0.750 0.225
Pb: 0.387 0.250 0.775
O: 0.266 0.750 0.533
O: 0.734 0.250 0.467

Energy relative to the elements, uncorrected ... -1.22 eV/atom



18.
Ba4BiPb3O12 after structural relaxation, computed with PBE-GGA.

a b c (Å): 6.161 6.217 8.700
angles (deg): 90.05 90.00 90.00
Fractional coordinates of all 20 atoms:
Ba: 0.000 0.505 0.753
Ba: 0.500 0.007 0.247
Ba: 0.500 0.993 0.753
Ba: 0.000 0.495 0.247
Bi: 0.500 0.500 0.500
Pb: 0.000 0.000 0.500
Pb: 0.500 0.500 0.000
Pb: 0.000 0.000 0.000
O: 0.000 0.065 0.749
O: 0.500 0.566 0.253
O: 0.500 0.434 0.747
O: 0.000 0.935 0.251
O: 0.252 0.254 0.463
O: 0.749 0.749 0.964
O: 0.252 0.746 0.537
O: 0.749 0.251 0.036
O: 0.251 0.749 0.964
O: 0.748 0.254 0.463
O: 0.251 0.251 0.036
O: 0.748 0.746 0.537

Offset from the most stable computed form ... 0.0000 eV/atom
Energy relative to the elements, uncorrected ... -1.73 eV/atom